No. 1
## GdMgZn (PBE)

Data for GdMgZn after structural relaxation.

Computed properties:
crystal system: triclinic
magnetization: 0.01 μB per cell
E: -2.59 eV per atom

Unit cell a=6.495 b=6.169 c=8.001 alpha=95.76 beta=88.25 gamma=61.68
Element x y z (fractional)
1 Gd 0.832 0.119 0.681
2 Zn 0.046 0.302 0.339
3 Mg 0.397 0.741 0.831
4 Mg 0.456 0.861 0.192
5 Mg 0.832 0.332 0.050
6 Zn 0.764 0.641 0.573
7 Gd 0.964 0.831 0.270
8 Gd 0.498 0.416 0.391
9 Zn 0.152 0.541 0.670
10 Gd 0.334 0.310 0.981
11 Mg 0.355 0.039 0.562
12 Zn 0.813 0.759 0.919

No. 2
## AlGaHgSeS3 (PBE)

Data for AlGaHgSeS3 after structural relaxation.

Computed properties:
crystal system: triclinic
E: -3.94 eV per atom

Unit cell a=5.668 b=5.736 c=6.517 alpha=114.87 beta=114.89 gamma=90.89
Element x y z (fractional)
1 S 0.399 0.415 0.276
2 Ga 0.499 0.506 0.005
3 S 0.141 0.600 0.733
4 Se 0.594 0.134 0.712
5 S 0.872 0.856 0.276
6 Al 0.242 0.740 0.495
7 Hg 0.002 0.999 0.001

No. 3
## LiPr2OsO6 (PBE)

Data for LiPr2OsO6 after structural relaxation.

Computed properties:
crystal system: monoclinic
magnetization: 6.00 μB per cell
E: -7.62 eV per atom

Unit cell a=5.453 b=5.749 c=7.763 alpha=90.00 beta=90.47 gamma=90.00
Last column: magnetic moment on the atom in μB.
Element x y z (fractional)
1 O 0.794 0.692 0.955  0.13
2 Li 0.000 0.000 0.000  0.00
3 Li 0.500 0.500 0.500  0.00
4 Os 0.500 0.500 0.000  1.94
5 Pr 0.485 0.065 0.251  0.03
6 O 0.294 0.808 0.455  0.13
7 O 0.688 0.212 0.951  0.12
8 O 0.312 0.788 0.049  0.12
9 O 0.591 0.474 0.246  0.12
10 Pr 0.985 0.435 0.751  0.03
11 O 0.409 0.526 0.754  0.12
12 O 0.206 0.308 0.045  0.13
13 O 0.091 0.026 0.746  0.12
14 Pr 0.515 0.935 0.749  0.03
15 O 0.812 0.712 0.549  0.12
16 O 0.188 0.288 0.451  0.12
17 Pr 0.015 0.565 0.249  0.03
18 O 0.909 0.974 0.254  0.12
19 Os 0.000 0.000 0.500  1.94
20 O 0.706 0.192 0.545  0.13

No. 4
## LuScBe (PBE)

Data for LuScBe after structural relaxation.

Computed properties:
energy relative to the lowest polymorph listed for this composition: 0.0 kJ per mole of atoms
crystal system: cubic
magnetization: 0.00 μB per cell
E: -4.61 eV per atom

Unit cell a=4.565 b=4.565 c=4.565 alpha=60.00 beta=60.00 gamma=60.00
Element x y z (fractional)
1 Lu 0.250 0.250 0.250
2 Sc 0.750 0.750 0.750
3 Be 0.000 0.000 0.000

No. 5
## PmBMo (PBE)

Data for PmBMo after structural relaxation.

Computed properties:
energy relative to the lowest polymorph listed for this composition: 135.8 kJ per mole of atoms
crystal system: cubic
magnetization: 2.96 μB per cell
E: -5.47 eV per atom

Unit cell a=4.527 b=4.527 c=4.527 alpha=60.00 beta=60.00 gamma=60.00
Last column: magnetic moment on the atom in μB.
Element x y z (fractional)
1 Pm 0.250 0.250 0.250  0.24
2 B 0.500 0.500 0.500  -0.08
3 Mo 0.000 0.000 0.000  2.50

No. 6
## TaBe2Tc2 (PBE)

Data for TaBe2Tc2 after structural relaxation.

Computed properties:
crystal system: tetragonal
magnetization: 0.02 μB per cell
E: -8.39 eV per atom

Unit cell a=6.284 b=6.284 c=3.141 alpha=90.00 beta=90.00 gamma=90.00
Element x y z (fractional)
1 Tc 0.177 0.677 0.500
2 Be 0.884 0.616 0.000
3 Be 0.384 0.884 0.000
4 Tc 0.677 0.823 0.500
5 Be 0.116 0.384 0.000
6 Be 0.616 0.116 0.000
7 Tc 0.323 0.177 0.500
8 Ta 0.500 0.500 0.000
9 Tc 0.823 0.323 0.500
10 Ta 0.000 0.000 0.000